[1]
Here is an optimized crystal structure of TePtPb from Alexandria. Energies are from PBEsol.

## Properties
SG: P2_13 (198)
M_tot: 0.00 μB/cell
ΔE_f (raw): -0.347 eV/atom
Distance to the lowest polymorph of the same formula: 0.000 eV/atom

The structure in CIF format:
```
data_TePtPb
_cell_length_a 6.6036
_cell_length_b 6.6036
_cell_length_c 6.6036
_cell_angle_alpha 90.00
_cell_angle_beta 90.00
_cell_angle_gamma 90.00
_space_group_name_H-M_alt 'P 1'
_space_group_IT_number 1
_space_group_name_Hall 'P 1'
loop_
_atom_site_label
_atom_site_type_symbol
_atom_site_fract_x
_atom_site_fract_y
_atom_site_fract_z
_atom_site_occupancy
Pt1 Pt 0.4913 0.5087 0.0087 1
Pb1 Pb 0.3672 0.1328 0.8672 1
Pb2 Pb 0.8672 0.3672 0.1328 1
Pb3 Pb 0.1328 0.8672 0.3672 1
Pb4 Pb 0.6328 0.6328 0.6328 1
Te1 Te 0.3714 0.3714 0.3714 1
Te2 Te 0.1286 0.6286 0.8714 1
Pt2 Pt 0.0087 0.4913 0.5087 1
Pt3 Pt 0.5087 0.0087 0.4913 1
Te3 Te 0.8714 0.1286 0.6286 1
Te4 Te 0.6286 0.8714 0.1286 1
Pt4 Pt 0.9913 0.9913 0.9913 1
```

[2]
Here is an optimized crystal structure of TePbSN2 from Alexandria. Energies are from PBEsol.

## Properties
SG: P4/mmm (123)
M_tot: 1.74 μB/cell
ΔE_f (raw): 1.511 eV/atom

The structure in CIF format:
```
data_TePbSN2
_cell_length_a 4.1506
_cell_length_b 4.1506
_cell_length_c 5.0557
_cell_angle_alpha 90.00
_cell_angle_beta 90.00
_cell_angle_gamma 90.00
_space_group_name_H-M_alt 'P 1'
_space_group_IT_number 1
_space_group_name_Hall 'P 1'
loop_
_atom_site_label
_atom_site_type_symbol
_atom_site_fract_x
_atom_site_fract_y
_atom_site_fract_z
_atom_site_occupancy
N1 N 0.5000 0.0000 0.0000 1
N2 N 0.0000 0.5000 0.0000 1
Te1 Te 0.0000 0.0000 0.5000 1
Pb1 Pb 0.5000 0.5000 0.5000 1
S1 S 0.0000 0.0000 0.0000 1
```

[3]
Here is an optimized crystal structure of Sb2PbSe from Alexandria. Energies are from PBEsol.

## Properties
SG: Imm2 (44)
M_tot: 0.00 μB/cell
ΔE_f (raw): 0.036 eV/atom
Distance to the lowest polymorph of the same formula: 0.230 eV/atom

The structure in CIF format:
```
data_Sb2PbSe
_cell_length_a 3.8694
_cell_length_b 5.4926
_cell_length_c 5.9915
_cell_angle_alpha 117.28
_cell_angle_beta 108.84
_cell_angle_gamma 90.00
_space_group_name_H-M_alt 'P 1'
_space_group_IT_number 1
_space_group_name_Hall 'P 1'
loop_
_atom_site_label
_atom_site_type_symbol
_atom_site_fract_x
_atom_site_fract_y
_atom_site_fract_z
_atom_site_occupancy
Sb1 Sb 0.7564 0.2564 0.5129 1
Sb2 Sb 0.0302 0.0302 0.0604 1
Se1 Se 0.4841 0.4841 0.9682 1
Pb1 Pb 0.2292 0.7292 0.4584 1
```

[4]
Here is an optimized crystal structure of YScCo3 from Alexandria. Energies are from PBEsol.

## Properties
Calculated formation energy: 1.211 eV/atom
SG: Pm-3m (221)
M_tot: 1.30 μB/cell

The structure in CIF format:
```
data_YScCo3
_cell_length_a 4.4945
_cell_length_b 4.4945
_cell_length_c 4.4945
_cell_angle_alpha 90.00
_cell_angle_beta 90.00
_cell_angle_gamma 90.00
_space_group_name_H-M_alt 'P 1'
_space_group_IT_number 1
_space_group_name_Hall 'P 1'
loop_
_atom_site_label
_atom_site_type_symbol
_atom_site_fract_x
_atom_site_fract_y
_atom_site_fract_z
_atom_site_occupancy
Y1 Y 0.0000 0.0000 0.0000 1
Co1 Co 0.5000 0.0000 0.0000 1
Sc1 Sc 0.5000 0.5000 0.5000 1
Co2 Co 0.0000 0.5000 0.0000 1
Co3 Co 0.0000 0.0000 0.5000 1
```

[5]
Here is an optimized crystal structure of Ba5Tm2ZrAl2O13 from Alexandria. Energies are from PBEsol.

## Properties
SG: P6_3/mmc (194)
M_tot: 0.00 μB/cell
ΔE_f (raw): -3.158 eV/atom

The structure in CIF format:
```
data_Ba5Tm2ZrAl2O13
_cell_length_a 5.9233
_cell_length_b 5.9233
_cell_length_c 24.8233
_cell_angle_alpha 90.00
_cell_angle_beta 90.00
_cell_angle_gamma 120.00
_space_group_name_H-M_alt 'P 1'
_space_group_IT_number 1
_space_group_name_Hall 'P 1'
loop_
_atom_site_label
_atom_site_type_symbol
_atom_site_fract_x
_atom_site_fract_y
_atom_site_fract_z
_atom_site_occupancy
O1 O 0.6734 0.8367 0.4497 1
Ba1 Ba 0.6667 0.3333 0.4584 1
O2 O 0.4962 0.9924 0.6575 1
O3 O 0.5038 0.0076 0.3425 1
O4 O 0.1633 0.3266 0.0503 1
Ba2 Ba 0.0000 0.0000 0.6373 1
O5 O 0.5038 0.0076 0.1575 1
Tm1 Tm 0.3333 0.6667 0.3965 1
Ba3 Ba 0.3333 0.6667 0.2500 1
O6 O 0.0076 0.5038 0.8425 1
O7 O 0.1633 0.8367 0.0503 1
Tm2 Tm 0.6667 0.3333 0.8965 1
Al1 Al 0.6667 0.3333 0.3196 1
O8 O 0.3333 0.6667 0.7500 1
Tm3 Tm 0.3333 0.6667 0.1035 1
O9 O 0.5038 0.4962 0.1575 1
O10 O 0.8367 0.6734 0.5503 1
Al2 Al 0.6667 0.3333 0.1804 1
O11 O 0.8367 0.6734 0.9497 1
Al3 Al 0.3333 0.6667 0.6804 1
O12 O 0.1633 0.8367 0.4497 1
O13 O 0.4962 0.5038 0.8425 1
O14 O 0.4962 0.5038 0.6575 1
Al4 Al 0.3333 0.6667 0.8196 1
O15 O 0.5038 0.4962 0.3425 1
O16 O 0.3266 0.1633 0.9497 1
O17 O 0.6734 0.8367 0.0503 1
Zr1 Zr 0.0000 0.0000 0.5000 1
Ba4 Ba 0.0000 0.0000 0.8627 1
Ba5 Ba 0.6667 0.3333 0.0416 1
O18 O 0.8367 0.1633 0.9497 1
O19 O 0.6667 0.3333 0.2500 1
O20 O 0.8367 0.1633 0.5503 1
O21 O 0.9924 0.4962 0.3425 1
Zr2 Zr 0.0000 0.0000 0.0000 1
O22 O 0.1633 0.3266 0.4497 1
Ba6 Ba 0.6667 0.3333 0.7500 1
Ba7 Ba 0.3333 0.6667 0.5416 1
O23 O 0.9924 0.4962 0.1575 1
O24 O 0.3266 0.1633 0.5503 1
Ba8 Ba 0.0000 0.0000 0.3627 1
Ba9 Ba 0.0000 0.0000 0.1373 1
Ba10 Ba 0.3333 0.6667 0.9584 1
Tm4 Tm 0.6667 0.3333 0.6035 1
O25 O 0.4962 0.9924 0.8425 1
O26 O 0.0076 0.5038 0.6575 1
```

[6]
Here is an optimized crystal structure of Nd3Ti3Se2O8 from Alexandria. Energies are from PBEsol.

## Properties
SG: P2_1/m (11)
M_tot: 0.00 μB/cell
ΔE_f (raw): -2.984 eV/atom

The structure in CIF format:
```
data_Nd3Ti3Se2O8
_cell_length_a 3.9268
_cell_length_b 9.7559
_cell_length_c 13.3782
_cell_angle_alpha 111.35
_cell_angle_beta 90.00
_cell_angle_gamma 90.00
_space_group_name_H-M_alt 'P 1'
_space_group_IT_number 1
_space_group_name_Hall 'P 1'
loop_
_atom_site_label
_atom_site_type_symbol
_atom_site_fract_x
_atom_site_fract_y
_atom_site_fract_z
_atom_site_occupancy
O1 O 0.7500 0.0962 0.7383 1
O2 O 0.7500 0.6379 0.7590 1
O3 O 0.7500 0.2483 0.0725 1
Nd1 Nd 0.7500 0.3234 0.9142 1
O4 O 0.2500 0.3621 0.2410 1
Ti1 Ti 0.7500 0.7216 0.9025 1
O5 O 0.2500 0.0271 0.5855 1
O6 O 0.7500 0.8582 0.1058 1
O7 O 0.2500 0.8765 0.7534 1
Se1 Se 0.2500 0.3618 0.7534 1
O8 O 0.2500 0.7517 0.9275 1
Nd2 Nd 0.7500 0.3901 0.3366 1
Nd3 Nd 0.2500 0.6766 0.0858 1
Se2 Se 0.7500 0.6807 0.5192 1
Nd4 Nd 0.2500 0.6099 0.6634 1
O9 O 0.7500 0.1235 0.2466 1
Ti2 Ti 0.2500 0.0532 0.7336 1
Nd5 Nd 0.7500 0.1703 0.5841 1
O10 O 0.2500 0.9038 0.2617 1
Nd6 Nd 0.2500 0.8297 0.4159 1
Ti3 Ti 0.7500 0.0513 0.0916 1
Se3 Se 0.2500 0.3193 0.4808 1
Ti4 Ti 0.7500 0.9468 0.2664 1
Se4 Se 0.7500 0.6382 0.2466 1
O11 O 0.7500 0.9729 0.4145 1
O12 O 0.2500 0.0608 0.0725 1
O13 O 0.2500 0.4166 0.0297 1
Ti5 Ti 0.2500 0.2784 0.0975 1
Ti6 Ti 0.2500 0.9487 0.9084 1
O14 O 0.2500 0.1418 0.8942 1
O15 O 0.7500 0.9392 0.9275 1
O16 O 0.7500 0.5834 0.9703 1
```

[7]
Here is an optimized crystal structure of La3P6Pd20 from Alexandria. Energies are from PBEsol.

## Properties
Calculated formation energy: -0.742 eV/atom
SG: Fm-3m (225)
M_tot: 0.00 μB/cell

The structure in CIF format:
```
data_La3P6Pd20
_cell_length_a 8.6352
_cell_length_b 8.6352
_cell_length_c 8.6352
_cell_angle_alpha 60.00
_cell_angle_beta 60.00
_cell_angle_gamma 60.00
_space_group_name_H-M_alt 'P 1'
_space_group_IT_number 1
_space_group_name_Hall 'P 1'
loop_
_atom_site_label
_atom_site_type_symbol
_atom_site_fract_x
_atom_site_fract_y
_atom_site_fract_z
_atom_site_occupancy
Pd1 Pd 0.0000 0.0000 0.3476 1
P1 P 0.7364 0.2636 0.2636 1
Pd2 Pd 0.3476 0.0000 0.6524 1
P2 P 0.2636 0.2636 0.7364 1
P3 P 0.2636 0.7364 0.2636 1
Pd3 Pd 0.6524 0.0000 0.3476 1
Pd4 Pd 0.6138 0.6138 0.1586 1
Pd5 Pd 0.3862 0.8414 0.3862 1
Pd6 Pd 0.3862 0.3862 0.8414 1
P4 P 0.2636 0.7364 0.7364 1
Pd7 Pd 0.6138 0.1586 0.6138 1
La1 La 0.7500 0.7500 0.7500 1
Pd8 Pd 0.3862 0.3862 0.3862 1
Pd9 Pd 0.0000 0.3476 0.0000 1
Pd10 Pd 0.6138 0.6138 0.6138 1
Pd11 Pd 0.6524 0.0000 0.0000 1
La2 La 0.2500 0.2500 0.2500 1
Pd12 Pd 0.1586 0.6138 0.6138 1
Pd13 Pd 0.0000 0.0000 0.6524 1
Pd14 Pd 0.8414 0.3862 0.3862 1
Pd15 Pd 0.3476 0.0000 0.0000 1
Pd16 Pd 0.0000 0.6524 0.0000 1
P5 P 0.7364 0.7364 0.2636 1
P6 P 0.7364 0.2636 0.7364 1
Pd17 Pd 0.3476 0.6524 0.0000 1
Pd18 Pd 0.0000 0.3476 0.6524 1
Pd19 Pd 0.0000 0.6524 0.3476 1
Pd20 Pd 0.6524 0.3476 0.0000 1
La3 La 0.0000 0.0000 0.0000 1
```

[8]
Here is an optimized crystal structure of AlZn2Tc from Alexandria. Energies are from PBEsol.

## Properties
Calculated formation energy: -0.026 eV/atom
SG: Cm (8)
M_tot: 0.00 μB/cell

The structure in CIF format:
```
data_AlZn2Tc
_cell_length_a 2.6587
_cell_length_b 4.6762
_cell_length_c 4.7546
_cell_angle_alpha 98.09
_cell_angle_beta 90.00
_cell_angle_gamma 106.52
_space_group_name_H-M_alt 'P 1'
_space_group_IT_number 1
_space_group_name_Hall 'P 1'
loop_
_atom_site_label
_atom_site_type_symbol
_atom_site_fract_x
_atom_site_fract_y
_atom_site_fract_z
_atom_site_occupancy
Zn1 Zn 0.7491 0.4983 0.2365 1
Zn2 Zn 0.9952 0.9904 0.0083 1
Al1 Al 0.5054 0.0109 0.5186 1
Tc1 Tc 0.2502 0.5005 0.7366 1
```